Compound: Rb2SbCl2F4
Source: Alexandria
Functional: PBE
Structure: optimized geometry

```
Rb2SbCl2F4
1.0
-3.192 4.004 -1.593
-0.577 -3.440 -6.151
-4.785 -4.967 -1.561
F Rb Cl Sb
4 2 2 1
direct
0.259 0.185 0.715 F
0.259 0.715 0.185 F
0.741 0.815 0.285 F
0.741 0.285 0.815 F
0.160 0.637 0.637 Rb
0.840 0.363 0.363 Rb
0.325 0.185 0.185 Cl
0.675 0.815 0.815 Cl
0.500 0.000 0.000 Sb
```

Results
**Symmetry**: C2/m, No. 12
**Energy relative to the elements, uncorrected**: -2.141 eV/atom
**ρ**: 3.38 g/cm³
**Fermi-level density of states**: 3.3 states/eV per cell

Compound: Rb2ScCl2F4
Source: Alexandria
Functional: PBE
Structure: optimized geometry

```
Rb2ScCl2F4
1.0
6.306 0.379 0.547
-2.694 5.714 -0.547
-2.694 -2.520 5.157
F Rb Cl Sc
4 2 2 1
direct
0.000 0.198 0.802 F
0.604 0.802 0.802 F
0.396 0.198 0.198 F
0.000 0.802 0.198 F
0.500 0.750 0.250 Rb
0.500 0.250 0.750 Rb
0.000 0.663 0.663 Cl
0.000 0.337 0.337 Cl
0.000 0.000 0.000 Sc
```

Results
**Symmetry**: I4/mmm, No. 139
**Energy relative to the elements, uncorrected**: -2.608 eV/atom
**ρ**: 3.09 g/cm³
**Fermi-level density of states**: 1.1 states/eV per cell

Compound: Rb2SeCl6F
Source: Alexandria
Functional: PBE
Structure: optimized geometry

```
Rb2SeCl6F
1.0
7.781 0.000 0.000
0.000 7.781 0.000
3.890 3.890 4.547
Se Rb Cl F
1 2 6 1
direct
0.000 0.000 0.000 Se
0.250 0.750 0.500 Rb
0.750 0.250 0.500 Rb
0.220 0.780 0.000 Cl
0.264 0.264 0.472 Cl
0.736 0.736 0.528 Cl
0.780 0.780 0.000 Cl
0.220 0.220 0.000 Cl
0.780 0.220 0.000 Cl
0.500 0.500 0.000 F
```

Results
**Symmetry**: I4/mmm, No. 139
**Energy relative to the elements, uncorrected**: -1.020 eV/atom
**ρ**: 2.91 g/cm³
**Fermi-level density of states**: 1.4 states/eV per cell

Compound: Rb2SiCl5F
Source: Alexandria
Functional: PBE
Structure: optimized geometry

```
Rb2SiCl5F
1.0
-1.381 -3.799 5.779
6.236 -0.697 -3.219
0.970 6.963 0.558
Rb Cl F Si
2 5 1 1
direct
0.500 0.245 0.745 Rb
0.500 0.745 0.245 Rb
0.000 0.769 0.218 Cl
0.449 0.218 0.218 Cl
0.551 0.769 0.769 Cl
0.000 0.218 0.769 Cl
0.000 0.218 0.218 Cl
0.000 0.824 0.824 F
0.000 0.994 0.994 Si
```

Results
**Symmetry**: I4mm, No. 107
**Energy relative to the elements, uncorrected**: -1.786 eV/atom
**ρ**: 2.63 g/cm³
**Fermi-level density of states**: 0.0 states/eV per cell

Compound: Rb3SnCl2F6
Source: Alexandria
Functional: PBE
Structure: optimized geometry

```
Rb3SnCl2F6
1.0
-0.703 1.051 5.974
-6.488 0.796 -0.903
2.210 -7.547 1.580
F Rb Cl Sn
6 3 2 1
direct
0.313 0.112 0.225 F
0.687 0.888 0.775 F
0.324 0.719 0.876 F
0.324 0.157 0.876 F
0.676 0.281 0.124 F
0.676 0.843 0.124 F
0.000 0.500 0.000 Rb
0.500 0.500 0.500 Rb
0.500 0.000 0.500 Rb
0.021 0.733 0.465 Cl
0.979 0.267 0.535 Cl
0.500 0.000 0.000 Sn
```

Results
**Symmetry**: C2/m, No. 12
**Energy relative to the elements, uncorrected**: -2.241 eV/atom
**ρ**: 3.16 g/cm³
**Fermi-level density of states**: 3.1 states/eV per cell

Compound: RbSnClF2
Source: Alexandria
Functional: PBE
Structure: optimized geometry

```
RbSnClF2
1.0
4.718 0.000 0.000
0.000 4.718 0.000
0.000 0.000 5.829
F Cl Sn Rb
2 1 1 1
direct
0.500 0.000 0.000 F
0.000 0.500 0.000 F
0.000 0.000 0.500 Cl
0.000 0.000 0.000 Sn
0.500 0.500 0.500 Rb
```

Results
**Symmetry**: P4/mmm, No. 123
**Energy relative to the elements, uncorrected**: -2.085 eV/atom
**ρ**: 3.55 g/cm³
**Fermi-level density of states**: 0.0 states/eV per cell

Compound: Rb2SnClF6
Source: Alexandria
Functional: PBE
Structure: optimized geometry

```
Rb2SnClF6
1.0
-2.081 -4.786 5.321
0.977 -6.946 -1.097
3.947 -4.872 3.977
Rb F Cl Sn
2 6 1 1
direct
0.098 0.018 0.829 Rb
0.534 0.614 0.274 Rb
0.477 0.621 0.713 F
0.333 0.373 0.272 F
0.629 0.106 0.981 F
0.299 0.259 0.831 F
0.003 0.526 0.122 F
0.155 0.011 0.390 F
0.817 0.816 0.551 Cl
0.316 0.316 0.052 Sn
```

Results
**Symmetry**: P-1, No. 2
**Energy above the most stable polymorph in this dataset**: 0.0000 eV/atom
**Energy relative to the elements, uncorrected**: -2.362 eV/atom
**ρ**: 3.19 g/cm³

Compound: Rb2SnClF6
Source: Alexandria
Functional: PBE
Structure: optimized geometry

```
Rb2SnClF6
1.0
6.710 0.000 0.000
0.000 6.710 0.000
3.355 3.355 4.971
F Rb Cl Sn
6 2 1 1
direct
0.799 0.799 0.402 F
0.789 0.211 0.000 F
0.211 0.211 0.000 F
0.211 0.789 0.000 F
0.789 0.789 0.000 F
0.201 0.201 0.598 F
0.250 0.750 0.500 Rb
0.750 0.250 0.500 Rb
0.500 0.500 0.000 Cl
0.000 0.000 0.000 Sn
```

Results
**Symmetry**: I4/mmm, No. 139
**Energy above the most stable polymorph in this dataset**: 0.0965 eV/atom
**Energy relative to the elements, uncorrected**: -2.265 eV/atom
**ρ**: 3.26 g/cm³
**Fermi-level density of states**: 7.7 states/eV per cell

no.,spin magnetization (μB per cell),raw total energy (eV per formula unit)
1,0.855,-36.50
2,0.159,-42.92
3,0.000,-28.57
4,0.000,-34.53
5,0.197,-48.72
6,0.000,-20.99
7,1.005,-42.63
8,1.000,-41.67